Record 1
{"formula": "Li2CdIr", "functional": "PBE-GGA", "state": "relaxed", "vol_a3_per_fu": 59.1, "e_form_ev_per_atom": -0.0372, "lattice_angstrom": [[3.2278, 0.0000, 0.0000], [0.0000, 3.2278, 0.0000], [0.0000, 0.0000, 5.6698]], "species": ["Li", "Li", "Cd", "Ir"], "fractional_positions": [[0.0000, 0.0000, 0.5391], [0.0000, 0.0000, 0.9609], [0.5000, 0.5000, 0.2500], [0.5000, 0.5000, 0.7500]]}

***

Record 2
{"formula": "TbPu2Rh2", "functional": "PBE-GGA", "state": "relaxed", "vol_a3_per_fu": 104.2, "e_form_ev_per_atom": -0.2323, "lattice_angstrom": [[-1.8090, 3.6603, 14.0916], [-0.0878, -0.6048, -14.6585], [-3.3479, -2.0589, 0.1050]], "species": ["Pu", "Pu", "Pu", "Pu", "Rh", "Rh", "Rh", "Rh", "Tb", "Tb"], "fractional_positions": [[0.0553, 0.9447, 0.2500], [0.2551, 0.7449, 0.7500], [0.9447, 0.0553, 0.7500], [0.7449, 0.2551, 0.2500], [0.1673, 0.8327, 0.2500], [0.8327, 0.1673, 0.7500], [0.5361, 0.4639, 0.7500], [0.4639, 0.5361, 0.2500], [0.6413, 0.3587, 0.7500], [0.3587, 0.6413, 0.2500]]}